Entry 1:
Cu3Sb2 | PBE | relaxed

Lattice parameters (Å, degrees): 4.116 4.116 6.708 90.00 90.00 120.00
Positions (direct):
1 Sb 0.333 0.667 0.708
2 Sb 0.667 0.333 0.292
3 Cu 0.667 0.333 0.883
4 Cu 0.000 0.000 0.000
5 Cu 0.333 0.667 0.117

Properties
Energy ... -0.1474 hartree per atom
Raw formation energy ... 0.5 eV/f.u.
Magnetization ... 0.000 μB per atom

Entry 2:
ZrAgRh | PBE | relaxed

Lattice parameters (Å, degrees): 5.146 5.146 5.146 142.60 138.83 56.83
Positions (direct):
1 Ag 0.002 0.002 0.000
2 Rh 0.679 0.679 0.000
3 Zr 0.320 0.320 0.000

Properties
ΔE to the lowest computed polymorph ... 0 meV per atom
Energy ... -0.2449 hartree per atom
Energy of formation ... -0.4142 eV per atom
Magnetization ... 0.000 μB per atom